DFT (PBE) results for a geometry-optimized LaAsOs structure.

Cell: 4.3074 5.8431 6.1015 Å, 89.66 69.32 68.31°
Sites, in units of the cell vectors:
Os1 0.4340 0.6972 0.9338
Os2 0.5660 0.3028 0.0662
La1 0.7349 0.7096 0.3206
La2 0.2651 0.2904 0.6794
As1 0.9270 0.8745 0.7705
As2 0.0730 0.1255 0.2295

Computed properties:
raw total energy	-7.481	eV/atom
SG	P-1 (2)
crystal system	triclinic



DFT (PBE) results for a geometry-optimized La2AsOs structure.

Cell: 4.3271 4.2706 5.8767 Å, 68.68 90.00 90.00°
Sites, in units of the cell vectors:
As1 0.5000 0.5566 0.7618
Os1 0.0000 0.6936 0.4876
La1 0.0000 0.9875 0.9003
La2 0.5000 0.2622 0.3503

Computed properties:
raw total energy	-7.065	eV/atom
SG	Amm2 (38)
crystal system	orthorhombic



DFT (PBE) results for a geometry-optimized LaAs12Os4 structure.

Cell: 7.4803 7.4803 7.4803 Å, 109.47 109.47 109.47°
Sites, in units of the cell vectors:
As1 0.8501 0.3479 0.1980
As2 0.4978 0.1499 0.3479
As3 0.6521 0.8020 0.1499
As4 0.1499 0.3479 0.4978
As5 0.5022 0.8501 0.6521
As6 0.8020 0.1499 0.6521
As7 0.3479 0.4978 0.1499
As8 0.3479 0.1980 0.8501
As9 0.8501 0.6521 0.5022
As10 0.1499 0.6521 0.8020
As11 0.6521 0.5022 0.8501
As12 0.1980 0.8501 0.3479
La1 0.0000 0.0000 0.0000
Os1 0.5000 0.5000 0.5000
Os2 0.0000 0.5000 0.0000
Os3 0.0000 0.0000 0.5000
Os4 0.5000 0.0000 0.0000

Computed properties:
raw total energy	-6.587	eV/atom
SG	Im-3 (204)
crystal system	cubic



DFT (PBE) results for a geometry-optimized LaAsOs structure.

Cell: 4.4724 8.8618 7.7169 Å, 90.00 117.38 90.00°
Sites, in units of the cell vectors:
Os1 0.6493 0.5000 0.4708
Os2 0.5618 0.5000 0.0306
Os3 0.6493 0.0000 0.9708
Os4 0.5618 0.0000 0.5306
As1 0.9261 0.5000 0.8432
As2 0.0449 0.5000 0.3439
As3 0.9261 0.0000 0.3432
As4 0.0449 0.0000 0.8439
La1 0.3320 0.2681 0.6910
La2 0.3320 0.7319 0.6910
La3 0.3320 0.7681 0.1910
La4 0.3320 0.2319 0.1910

Computed properties:
raw total energy	-7.470	eV/atom
SG	Cm (8)
crystal system	monoclinic



DFT (PBE) results for a geometry-optimized La2AsOs structure.

Cell: 3.8067 3.7380 7.7622 Å, 61.26 90.00 90.00°
Sites, in units of the cell vectors:
As1 0.5000 0.7500 0.7500
La1 0.0000 0.9996 0.0016
La2 0.0000 0.5004 0.4984
Os1 0.5000 0.2500 0.2500

Computed properties:
raw total energy	-6.900	eV/atom
SG	Pmmm (47)
crystal system	orthorhombic



DFT (PBE) results for a geometry-optimized LaAsOs structure.

Cell: 4.6134 4.6134 4.6134 Å, 60.00 60.00 60.00°
Sites, in units of the cell vectors:
La1 0.5000 0.5000 0.5000
Os1 0.7500 0.7500 0.7500
As1 0.0000 0.0000 0.0000

Computed properties:
raw total energy	-7.008	eV/atom
SG	F-43m (216)
crystal system	cubic